(1)
## LaNd4Ni4 (PBE)

Data for LaNd4Ni4 after structural relaxation. Values from VASP.

Output
**Symmetry**: No. 86
**Formation energy from the elements**: -18.7 kJ/mol of atoms

```
&SYSTEM
  ibrav = 0, nat = 18, ntyp = 3
/
ATOMIC_SPECIES
La 138.91 La.upf
Nd 144.24 Nd.upf
Ni 58.69 Ni.upf
CELL_PARAMETERS angstrom
-1.817 1.572 5.434
3.685 -7.121 3.293
7.385 4.377 1.203
ATOMIC_POSITIONS angstrom
La 0.000 0.000 0.000
La 4.626 -0.586 4.965
Nd 7.175 2.434 4.315
Nd 6.494 0.808 7.806
Nd 2.428 -3.910 4.564
Nd 4.835 1.357 1.852
Nd 7.384 -2.567 7.088
Nd 5.883 -3.798 3.694
Nd 1.293 -0.712 6.507
Nd 1.517 1.699 3.892
Ni 4.439 -2.936 6.339
Ni 4.390 2.130 4.857
Ni 8.345 -2.811 4.360
Ni 5.804 3.233 6.745
Ni 2.055 -3.199 7.352
Ni 2.325 -1.018 3.563
Ni 7.351 -0.520 5.100
Ni 2.301 0.432 1.401
```

(2)
## Eu2TmMg (PBE)

Data for Eu2TmMg after structural relaxation. Values from VASP.

Output
**Symmetry**: No. 123
**Formation energy from the elements**: 8.4 kJ/mol of atoms

```
&SYSTEM
  ibrav = 0, nat = 4, ntyp = 3
/
ATOMIC_SPECIES
Eu 151.96 Eu.upf
Mg 24.30 Mg.upf
Tm 168.93 Tm.upf
CELL_PARAMETERS angstrom
-3.655 -3.000 1.913
0.388 -3.068 -4.069
3.544 -2.770 2.427
ATOMIC_POSITIONS angstrom
Eu 1.772 -1.385 1.213
Eu 0.194 -1.534 -2.034
Mg -1.828 -1.500 0.957
Tm 0.138 -4.419 0.136
```

(3)
## LiHfTiMn (PBE)

Data for LiHfTiMn after structural relaxation. Values from VASP.

Output
**Symmetry**: No. 216
**Formation energy from the elements**: 3.6 kJ/mol of atoms

```
&SYSTEM
  ibrav = 0, nat = 4, ntyp = 4
/
ATOMIC_SPECIES
Mn 54.94 Mn.upf
Hf 178.49 Hf.upf
Li 6.94 Li.upf
Ti 47.87 Ti.upf
CELL_PARAMETERS angstrom
4.403 0.000 0.000
2.202 3.813 0.000
2.202 1.271 3.595
ATOMIC_POSITIONS angstrom
Mn 6.605 3.813 2.696
Hf 0.000 0.000 0.000
Li 2.202 1.271 0.899
Ti 4.403 2.542 1.798
```

(4)
## Sb2Mo (PBE)

Data for Sb2Mo after structural relaxation. Values from VASP.

Output
**Symmetry**: No. 123
**Formation energy without anion corrections**: 1.44 eV/f.u.

```
&SYSTEM
  ibrav = 0, nat = 3, ntyp = 2
/
ATOMIC_SPECIES
Mo 95.94 Mo.upf
Sb 121.76 Sb.upf
CELL_PARAMETERS angstrom
-2.131 -0.846 -4.035
-2.965 -2.842 2.161
-2.054 2.560 0.548
ATOMIC_POSITIONS angstrom
Mo 0.000 0.000 0.000
Sb -2.509 -0.141 1.355
Sb -2.092 0.857 -1.743
```

(5)
## MnNb2Zn (PBE)

Data for MnNb2Zn after structural relaxation. Values from VASP.

Output
**Symmetry**: No. 123
**Formation energy from the elements**: 5.4 kJ/mol of atoms

```
&SYSTEM
  ibrav = 0, nat = 4, ntyp = 3
/
ATOMIC_SPECIES
Nb 92.91 Nb.upf
Mn 54.94 Mn.upf
Zn 65.41 Zn.upf
CELL_PARAMETERS angstrom
-2.754 1.728 1.835
-2.364 -0.226 -3.335
-1.433 -3.622 1.261
ATOMIC_POSITIONS angstrom
Nb -0.716 -1.811 0.630
Nb -1.182 -0.113 -1.668
Mn -3.275 -1.060 -0.120
Zn -1.377 0.864 0.917
```

(6)
## Mn2Pd8Pb (PBE)

Data for Mn2Pd8Pb after structural relaxation. Values from VASP.

Output
**Symmetry**: No. 12
**Formation energy from the elements**: -21.1 kJ/mol of atoms

```
&SYSTEM
  ibrav = 0, nat = 11, ntyp = 3
/
ATOMIC_SPECIES
Mn 54.94 Mn.upf
Pd 106.42 Pd.upf
Pb 207.20 Pb.upf
CELL_PARAMETERS angstrom
4.065 0.000 0.000
0.000 6.289 0.374
-2.033 -2.290 6.740
ATOMIC_POSITIONS angstrom
Mn 2.033 0.927 3.855
Mn 0.000 3.072 3.259
Pd 0.000 1.514 5.604
Pd 2.033 4.931 2.797
Pd 2.033 3.366 5.029
Pd 2.033 -0.348 6.241
Pd 0.000 0.632 2.085
Pd 0.000 -0.933 4.317
Pd 2.033 2.485 1.510
Pd 0.000 4.346 0.873
Pb 2.033 0.000 0.000
```

Repeat the first record exactly.
## LaNd4Ni4 (PBE)

Data for LaNd4Ni4 after structural relaxation. Values from VASP.

Output
**Symmetry**: No. 86
**Formation energy from the elements**: -18.7 kJ/mol of atoms

```
&SYSTEM
  ibrav = 0, nat = 18, ntyp = 3
/
ATOMIC_SPECIES
La 138.91 La.upf
Nd 144.24 Nd.upf
Ni 58.69 Ni.upf
CELL_PARAMETERS angstrom
-1.817 1.572 5.434
3.685 -7.121 3.293
7.385 4.377 1.203
ATOMIC_POSITIONS angstrom
La 0.000 0.000 0.000
La 4.626 -0.586 4.965
Nd 7.175 2.434 4.315
Nd 6.494 0.808 7.806
Nd 2.428 -3.910 4.564
Nd 4.835 1.357 1.852
Nd 7.384 -2.567 7.088
Nd 5.883 -3.798 3.694
Nd 1.293 -0.712 6.507
Nd 1.517 1.699 3.892
Ni 4.439 -2.936 6.339
Ni 4.390 2.130 4.857
Ni 8.345 -2.811 4.360
Ni 5.804 3.233 6.745
Ni 2.055 -3.199 7.352
Ni 2.325 -1.018 3.563
Ni 7.351 -0.520 5.100
Ni 2.301 0.432 1.401
```